Record 1
This record from Alexandria describes NaSn5Au4 after structural relaxation. The functional is PBE.

Output
Relative energy among the computed polymorphs, meV/atom: 20
Formation energy, kJ/mol of formula units: -136
Total magnetization, μB/f.u.: 0.00

a b c (Å): 8.745 8.745 6.638
angles (deg): 110.80 110.80 30.85
Positions (direct):
Na: 0.000 0.000 0.000
Sn: 0.000 0.000 0.500
Sn: 0.282 0.282 0.186
Sn: 0.365 0.365 0.753
Sn: 0.635 0.635 0.247
Sn: 0.718 0.718 0.814
Au: 0.173 0.173 0.512
Au: 0.455 0.455 0.221
Au: 0.545 0.545 0.779
Au: 0.827 0.827 0.488

Record 2
This record from Alexandria describes CdPbSe2 after structural relaxation. The functional is PBE.

Output
Raw formation energy, eV per atom: -0.522
Total magnetization, μB/f.u.: 0.00

a b c (Å): 7.299 7.299 7.299
angles (deg): 33.65 33.65 33.65
Positions (direct):
Cd: 0.000 0.000 0.000
Pb: 0.500 0.500 0.500
Se: 0.258 0.258 0.258
Se: 0.742 0.742 0.742

Record 3
This record from Alexandria describes Rb2Zn3P4O14 after structural relaxation. The functional is PBE.

Output
Raw formation energy, eV per atom: -2.109
Total magnetization, μB/f.u.: 0.11

a b c (Å): 7.328 7.348 13.461
angles (deg): 90.00 92.19 90.00
Positions (direct):
Rb: 0.058 0.000 0.085
Rb: 0.386 0.750 0.591
Rb: 0.614 0.250 0.409
Rb: 0.942 0.500 0.915
Zn: 0.209 0.252 0.598
Zn: 0.211 0.374 0.238
Zn: 0.448 0.341 0.886
Zn: 0.552 0.841 0.114
Zn: 0.789 0.874 0.762
Zn: 0.791 0.752 0.402
P: 0.112 0.028 0.391
P: 0.163 0.039 0.809
P: 0.368 0.740 0.317
P: 0.432 0.765 0.889
P: 0.568 0.265 0.111
P: 0.632 0.240 0.683
P: 0.837 0.539 0.191
P: 0.888 0.528 0.609
O: 0.000 0.440 0.148
O: 0.000 0.940 0.852
O: 0.086 0.488 0.582
O: 0.123 0.143 0.297
O: 0.130 0.084 0.699
O: 0.189 0.825 0.368
O: 0.220 0.199 0.877
O: 0.232 0.101 0.478
O: 0.335 0.583 0.872
O: 0.336 0.900 0.807
O: 0.345 0.534 0.331
O: 0.358 0.798 0.207
O: 0.367 0.262 0.136
O: 0.397 0.845 0.992
O: 0.470 0.318 0.622
O: 0.530 0.818 0.378
O: 0.603 0.345 0.008
O: 0.633 0.762 0.864
O: 0.642 0.298 0.793
O: 0.655 0.034 0.669
O: 0.664 0.400 0.193
O: 0.665 0.083 0.128
O: 0.768 0.601 0.522
O: 0.780 0.699 0.123
O: 0.811 0.325 0.632
O: 0.870 0.584 0.301
O: 0.877 0.643 0.703
O: 0.914 0.988 0.418

Record 4
This record from Alexandria describes KRbSnBr4 after structural relaxation. The functional is PBE.

Output
Raw formation energy, eV per atom: -1.303
Total magnetization, μB/f.u.: 0.00

a b c (Å): 9.554 9.554 9.554
angles (deg): 144.43 144.43 51.18
Positions (direct):
K: 0.000 0.000 0.000
Rb: 0.276 0.276 0.000
Sn: 0.638 0.638 0.000
Br: 0.135 0.635 0.500
Br: 0.470 0.470 0.000
Br: 0.635 0.135 0.500
Br: 0.813 0.813 0.000

Record 5
This record from Alexandria describes Pu5PtRh2 after structural relaxation. The functional is PBE.

Output
Relative energy among the computed polymorphs, meV/atom: 114
Formation energy, kJ/mol of formula units: -257
Total magnetization, μB/f.u.: 5.62

a b c (Å): 5.939 5.958 6.016
angles (deg): 110.22 108.98 108.74
Positions (direct):
Pu: 0.000 0.000 0.000
Pu: 0.003 0.502 0.519
Pu: 0.496 0.496 0.996
Pu: 0.515 0.016 0.519
Pu: 0.956 0.449 0.907
Pt: 0.484 0.510 0.491
Rh: 0.008 0.958 0.471
Rh: 0.513 0.011 0.025

Record 6
This record from Alexandria describes ZrGaCu after structural relaxation. The functional is PBE.

Output
Formation energy, kJ/mol of formula units: -82
Total magnetization, μB/f.u.: 0.00

a b c (Å): 3.950 6.718 6.718
angles (deg): 34.83 90.00 90.00
Positions (direct):
Zr: 0.000 0.000 0.000
Zr: 0.000 0.317 0.317
Ga: 0.000 0.663 0.663
Ga: 0.500 0.490 0.490
Cu: 0.500 0.158 0.158
Cu: 0.500 0.810 0.810

Record 7
This record from Alexandria describes CeGdCu4 after structural relaxation. The functional is PBE.

Output
Formation energy, kJ/mol of formula units: -57
Total magnetization, μB/f.u.: 8.29

a b c (Å): 5.288 5.288 5.288
angles (deg): 60.00 60.00 60.00
Positions (direct):
Ce: 0.000 0.000 0.000
Gd: 0.250 0.250 0.250
Cu: 0.127 0.624 0.624
Cu: 0.624 0.127 0.624
Cu: 0.624 0.624 0.127
Cu: 0.624 0.624 0.624

Record 8
This record from Alexandria describes Rb2NiHgH after structural relaxation. The functional is PBE.

Output
Energy, eV per atom: -2.053
Total magnetization, μB/f.u.: 0.00

a b c (Å): 6.632 6.632 3.297
angles (deg): 90.00 90.00 90.00
Positions (direct):
Rb: 0.000 0.500 0.000
Rb: 0.500 0.000 0.000
Ni: 0.000 0.000 0.000
Hg: 0.500 0.500 0.500
H: 0.000 0.000 0.500

Record 9
This record from Alexandria describes SbH after structural relaxation. The functional is PBE.

Output
Relative energy among the computed polymorphs, meV/atom: 511
Total magnetization, μB/f.u.: 0.00

a b c (Å): 5.766 5.766 5.766
angles (deg): 109.47 109.47 109.47
Positions (direct):
Sb: 0.000 0.000 0.509
Sb: 0.000 0.509 0.000
Sb: 0.491 0.491 0.491
Sb: 0.509 0.000 0.000
H: 0.000 0.000 0.822
H: 0.000 0.822 0.000
H: 0.178 0.178 0.178
H: 0.822 0.000 0.000

Record 10
This record from Alexandria describes NiMoP2 after structural relaxation. The functional is PBE.

Output
Formation energy, kJ/mol of formula units: -42
Total magnetization, μB/f.u.: 0.00

a b c (Å): 4.984 4.984 4.984
angles (deg): 143.55 133.78 60.25
Positions (direct):
Ni: 0.000 0.000 0.000
Mo: 0.723 0.223 0.500
P: 0.199 0.699 0.500
P: 0.482 0.482 0.000

Record 11
This record from Alexandria describes RbNa2Fe after structural relaxation. The functional is PBE.

Output
Relative energy among the computed polymorphs, meV/atom: 400
Formation energy, kJ/mol of formula units: 464
Total magnetization, μB/f.u.: 0.08

a b c (Å): 12.106 12.106 12.106
angles (deg): 156.26 156.26 33.82
Positions (direct):
Rb: 0.000 0.000 0.000
Rb: 0.750 0.250 0.500
Na: 0.183 0.625 0.058
Na: 0.375 0.433 0.558
Na: 0.567 0.125 0.942
Na: 0.875 0.817 0.442
Fe: 0.250 0.750 0.500
Fe: 0.500 0.500 0.000

Record 12
This record from Alexandria describes B2C after structural relaxation. The functional is PBE.

Output
Relative energy among the computed polymorphs, meV/atom: 383
Formation energy, kJ/mol of formula units: 164
Total magnetization, μB/f.u.: 0.00

a b c (Å): 4.816 4.816 4.497
angles (deg): 99.69 99.69 118.40
Positions (direct):
B: 0.181 0.697 0.529
B: 0.303 0.819 0.971
B: 0.311 0.470 0.057
B: 0.470 0.311 0.557
B: 0.530 0.689 0.443
B: 0.689 0.530 0.943
B: 0.697 0.181 0.029
B: 0.819 0.303 0.471
C: 0.019 0.868 0.072
C: 0.132 0.981 0.428
C: 0.868 0.019 0.572
C: 0.981 0.132 0.928